[1]
! Ac4CdNi | the Alexandria database | PBE-GGA | optimized geometry; values from VASP
! Total magnetization: 0.0 Bohr magnetons per cell
! Formation enthalpy at 0 K: 43 meV/atom
! Volume: 37.62 Å³ per atom
! SG: P4/mmm (123)
&SYSTEM
  ibrav = 0, nat = 6, ntyp = 3
/
ATOMIC_SPECIES
Ac 227.00 Ac.upf
Cd 112.41 Cd.upf
Ni 58.69 Ni.upf
CELL_PARAMETERS angstrom
5.338 0.000 0.000
0.000 5.338 0.000
0.000 0.000 7.919
ATOMIC_POSITIONS crystal
Ac 0.500 0.000 0.725
Ac 0.000 0.500 0.725
Ac 0.500 0.000 0.275
Ac 0.000 0.500 0.275
Cd 0.000 0.000 0.000
Ni 0.500 0.500 0.500


[2]
! Ba2AgW | the Alexandria database | PBE-GGA | optimized geometry; values from VASP
! Total magnetization: 3.5 Bohr magnetons per cell
! Formation enthalpy at 0 K: 1091 meV/atom
! Volume: 32.64 Å³ per atom
! SG: I-4m2 (119)
&SYSTEM
  ibrav = 0, nat = 4, ntyp = 3
/
ATOMIC_SPECIES
Ag 107.87 Ag.upf
Ba 137.33 Ba.upf
W 183.84 W.upf
CELL_PARAMETERS angstrom
-2.704 5.927 -0.317
-6.024 0.589 2.430
5.679 -2.494 2.018
ATOMIC_POSITIONS crystal
Ag 0.750 0.250 0.500
Ba 0.000 0.000 0.000
Ba 0.250 0.750 0.500
W 0.500 0.500 0.000


[3]
! CaMg5P3HCO16 | the Alexandria database | PBE-GGA | optimized geometry; values from VASP
! Total magnetization: 0.0 Bohr magnetons per cell
! Calculated total energy: -6.86 eV per atom
! Volume: 11.08 Å³ per atom
! SG: P-1 (2)
&SYSTEM
  ibrav = 0, nat = 54, ntyp = 6
/
ATOMIC_SPECIES
Ca 40.08 Ca.upf
Mg 24.30 Mg.upf
P 30.97 P.upf
H 1.01 H.upf
C 12.01 C.upf
O 16.00 O.upf
CELL_PARAMETERS angstrom
-5.527 2.778 -1.532
2.179 -1.501 -8.384
-3.319 -10.244 1.980
ATOMIC_POSITIONS crystal
Ca 0.123 0.318 0.562
Ca 0.877 0.682 0.438
Mg 0.091 0.820 0.169
Mg 0.909 0.180 0.831
Mg 0.338 0.532 0.116
Mg 0.662 0.468 0.884
Mg 0.311 0.036 0.401
Mg 0.689 0.964 0.599
Mg 0.587 0.352 0.318
Mg 0.413 0.648 0.682
Mg 0.675 0.135 0.049
Mg 0.325 0.865 0.951
P 0.800 0.033 0.330
P 0.200 0.967 0.670
P 0.215 0.158 0.109
P 0.785 0.842 0.891
P 0.369 0.670 0.425
P 0.631 0.330 0.575
H 0.511 0.803 0.161
H 0.489 0.197 0.839
C 0.150 0.481 0.838
C 0.850 0.519 0.162
O 0.011 0.110 0.413
O 0.989 0.890 0.587
O 0.439 0.266 0.466
O 0.561 0.734 0.534
O 0.368 0.003 0.588
O 0.632 0.997 0.412
O 0.327 0.316 0.171
O 0.673 0.684 0.829
O 0.238 0.795 0.363
O 0.762 0.205 0.637
O 0.219 0.578 0.496
O 0.781 0.422 0.504
O 0.464 0.572 0.327
O 0.536 0.428 0.673
O 0.704 0.151 0.239
O 0.296 0.849 0.761
O 0.678 0.495 0.077
O 0.322 0.505 0.923
O 0.163 0.122 0.740
O 0.837 0.878 0.260
O 0.206 0.048 0.211
O 0.794 0.952 0.789
O 0.024 0.583 0.138
O 0.976 0.417 0.862
O 0.372 0.761 0.113
O 0.628 0.239 0.887
O 0.155 0.518 0.727
O 0.845 0.482 0.273
O 0.349 0.090 0.017
O 0.651 0.910 0.983
O 0.989 0.177 0.034
O 0.011 0.823 0.966


[4]
! Cu2RuCl | the Alexandria database | PBE-GGA | optimized geometry; values from VASP
! Total magnetization: 2.0 Bohr magnetons per cell
! ΔE_f (raw): 3.55 eV per formula unit
! Volume: 15.21 Å³ per atom
! SG: Fm-3m (225)
&SYSTEM
  ibrav = 0, nat = 4, ntyp = 3
/
ATOMIC_SPECIES
Ru 101.07 Ru.upf
Cu 63.55 Cu.upf
Cl 35.45 Cl.upf
CELL_PARAMETERS angstrom
0.558 -4.274 -0.951
-3.480 -2.496 -1.069
-0.505 -1.422 -4.148
ATOMIC_POSITIONS crystal
Ru 0.500 0.500 0.500
Cu 0.250 0.250 0.250
Cu 0.750 0.750 0.750
Cl 0.000 0.000 0.000


[5]
! HoCu2Pt | the Alexandria database | PBE-GGA | optimized geometry; values from VASP
! Total magnetization: 0.0 Bohr magnetons per cell
! Formation enthalpy at 0 K: -471 meV/atom
! Volume: 16.43 Å³ per atom
! SG: Fm-3m (225)
&SYSTEM
  ibrav = 0, nat = 4, ntyp = 3
/
ATOMIC_SPECIES
Cu 63.55 Cu.upf
Ho 164.93 Ho.upf
Pt 195.08 Pt.upf
CELL_PARAMETERS angstrom
-2.582 0.232 3.714
-4.324 -1.339 -0.161
-1.275 -3.798 2.113
ATOMIC_POSITIONS crystal
Cu 0.250 0.250 0.250
Cu 0.750 0.750 0.750
Ho 0.000 0.000 0.000
Pt 0.500 0.500 0.500


[6]
! UTiRe | the Alexandria database | PBE-GGA | optimized geometry; values from VASP
! Total magnetization: 0.0 Bohr magnetons per cell
! Formation enthalpy at 0 K: 259 meV/atom
! Volume: 17.49 Å³ per atom
! SG: P3m1 (156)
&SYSTEM
  ibrav = 0, nat = 3, ntyp = 3
/
ATOMIC_SPECIES
Re 186.21 Re.upf
U 238.03 U.upf
Ti 47.87 Ti.upf
CELL_PARAMETERS angstrom
-2.217 1.438 0.958
-0.385 -2.228 -1.669
-0.297 -4.563 6.161
ATOMIC_POSITIONS crystal
Re 0.000 0.000 0.982
U 0.667 0.333 0.336
Ti 0.333 0.667 0.681


[7]
! LaSc2InGe | the Alexandria database | PBE-GGA | optimized geometry; values from VASP
! Total magnetization: 0.0 Bohr magnetons per cell
! Formation enthalpy at 0 K: 1108 meV/atom
! Volume: 32.36 Å³ per atom
! SG: P4/mmm (123)
&SYSTEM
  ibrav = 0, nat = 5, ntyp = 4
/
ATOMIC_SPECIES
Sc 44.96 Sc.upf
Ge 72.64 Ge.upf
In 114.82 In.upf
La 138.91 La.upf
CELL_PARAMETERS angstrom
-1.796 4.639 1.721
-1.405 -2.442 5.115
4.783 1.159 1.867
ATOMIC_POSITIONS crystal
Sc 0.000 0.000 0.500
Sc 0.500 0.000 0.000
Ge 0.500 0.500 0.500
In 0.000 0.500 0.000
La 0.000 0.000 0.000


[8]
! Nd6CS3N2 | the Alexandria database | PBE-GGA | optimized geometry; values from VASP
! Total magnetization: 0.0 Bohr magnetons per cell
! ΔE_f (raw): -18.39 eV per formula unit
! Volume: 20.78 Å³ per atom
! SG: C2/m (12)
&SYSTEM
  ibrav = 0, nat = 12, ntyp = 4
/
ATOMIC_SPECIES
Nd 144.24 Nd.upf
C 12.01 C.upf
S 32.06 S.upf
N 14.01 N.upf
CELL_PARAMETERS angstrom
-0.339 0.833 6.559
0.582 -6.086 -2.539
6.465 2.260 -1.064
ATOMIC_POSITIONS crystal
Nd 0.929 0.594 0.786
Nd 0.737 0.737 0.214
Nd 0.071 0.406 0.214
Nd 0.594 0.929 0.786
Nd 0.263 0.263 0.786
Nd 0.406 0.071 0.214
C 0.000 0.000 0.000
S 0.166 0.834 0.500
S 0.834 0.166 0.500
S 0.500 0.500 0.500
N 0.333 0.667 0.000
N 0.667 0.333 0.000


[9]
! Rb4Ac3ZrTe8 | the Alexandria database | PBE-GGA | optimized geometry; values from VASP
! Total magnetization: 1.0 Bohr magnetons per cell
! ΔE_f (raw): -21.01 eV per formula unit
! Volume: 41.77 Å³ per atom
! SG: R-3m (166)
&SYSTEM
  ibrav = 0, nat = 16, ntyp = 4
/
ATOMIC_SPECIES
Rb 85.47 Rb.upf
Ac 227.00 Ac.upf
Zr 91.22 Zr.upf
Te 127.60 Te.upf
CELL_PARAMETERS angstrom
-8.932 3.024 -0.876
-1.981 -3.096 9.510
7.188 6.039 -1.254
ATOMIC_POSITIONS crystal
Rb 0.500 0.000 0.000
Rb 0.500 0.000 0.500
Rb 0.000 0.000 0.000
Rb 0.000 0.000 0.500
Ac 0.500 0.500 0.000
Ac 0.500 0.500 0.500
Ac 0.000 0.500 0.500
Zr 0.000 0.500 0.000
Te 0.221 0.703 0.982
Te 0.221 0.703 0.441
Te 0.260 0.281 0.521
Te 0.762 0.703 0.982
Te 0.238 0.297 0.018
Te 0.740 0.719 0.479
Te 0.779 0.297 0.559
Te 0.779 0.297 0.018


[10]
! TaNiSbI2 | the Alexandria database | PBE-GGA | optimized geometry; values from VASP
! Total magnetization: 0.0 Bohr magnetons per cell
! ΔE_f (raw): 5.51 eV per formula unit
! Volume: 25.32 Å³ per atom
! SG: P4/mmm (123)
&SYSTEM
  ibrav = 0, nat = 5, ntyp = 4
/
ATOMIC_SPECIES
I 126.90 I.upf
Sb 121.76 Sb.upf
Ni 58.69 Ni.upf
Ta 180.95 Ta.upf
CELL_PARAMETERS angstrom
4.988 0.000 0.000
0.000 4.988 0.000
0.000 0.000 5.090
ATOMIC_POSITIONS crystal
I 0.000 0.500 0.000
I 0.500 0.000 0.000
Sb 0.000 0.000 0.500
Ni 0.000 0.000 0.000
Ta 0.500 0.500 0.500


[11]
! Nd2ErMg4 | the Alexandria database | PBE-GGA | optimized geometry; values from VASP
! Total magnetization: 0.0 Bohr magnetons per cell
! Formation enthalpy at 0 K: 121 meV/atom
! Volume: 30.98 Å³ per atom
! SG: I4/mmm (139)
&SYSTEM
  ibrav = 0, nat = 7, ntyp = 3
/
ATOMIC_SPECIES
Nd 144.24 Nd.upf
Er 167.26 Er.upf
Mg 24.30 Mg.upf
CELL_PARAMETERS angstrom
5.193 0.000 -1.655
-0.528 5.166 -1.655
-0.231 -0.256 8.247
ATOMIC_POSITIONS crystal
Nd 0.747 0.747 0.494
Nd 0.253 0.253 0.506
Er 0.000 0.000 0.000
Mg 0.387 0.887 0.775
Mg 0.887 0.387 0.775
Mg 0.613 0.113 0.225
Mg 0.113 0.613 0.225


[12]
! LiNd4Pu3Se8 | the Alexandria database | PBE-GGA | optimized geometry; values from VASP
! Total magnetization: 17.5 Bohr magnetons per cell
! ΔE_f (raw): -27.05 eV per formula unit
! Volume: 25.80 Å³ per atom
! SG: R-3m (166)
&SYSTEM
  ibrav = 0, nat = 16, ntyp = 4
/
ATOMIC_SPECIES
Li 6.94 Li.upf
Nd 144.24 Nd.upf
Pu 244.00 Pu.upf
Se 78.96 Se.upf
CELL_PARAMETERS angstrom
8.356 0.000 0.000
0.000 8.359 -0.003
-4.178 -4.174 5.911
ATOMIC_POSITIONS crystal
Li 0.000 0.500 0.000
Nd 0.500 0.000 0.000
Nd 0.500 0.000 0.500
Nd 0.000 0.000 0.000
Nd 0.000 0.000 0.500
Pu 0.500 0.500 0.000
Pu 0.500 0.500 0.500
Pu 0.000 0.500 0.500
Se 0.244 0.740 0.996
Se 0.244 0.740 0.488
Se 0.253 0.258 0.506
Se 0.752 0.740 0.996
Se 0.248 0.260 0.004
Se 0.747 0.742 0.494
Se 0.756 0.260 0.512
Se 0.756 0.260 0.004